ZrPaPt2, relaxed, DFT PBE; space-group type = Fm-3m; energy of formation = -793 meV/atom; raw total energy = -8.324 eV/atom; calculated volume = 81.7 Å³/f.u.; D(E_F) = 7.44 states/eV per cell
1.0
0.0000 3.4443 3.4443
3.4443 0.0000 3.4443
3.4443 3.4443 0.0000
Zr Pa Pt
1 1 2
direct
0.0000 0.0000 0.0000
0.5000 0.5000 0.5000
0.2500 0.2500 0.2500
0.7500 0.7500 0.7500


CuCl2F2, relaxed, DFT PBE; space-group type = P4/mbm; energy relative to the elements, uncorrected = -0.7838 eV/atom; raw total energy = -3.090 eV/atom; calculated volume = 98.1 Å³/f.u.; D(E_F) = 3.96 states/eV per cell
1.0
5.4150 0.0000 0.0000
0.0000 5.4150 0.0000
0.0000 0.0000 6.6928
Cu Cl F
2 4 4
direct
0.0000 0.0000 0.0000
0.5000 0.5000 0.0000
0.1305 0.3695 0.5000
0.3695 0.8695 0.5000
0.6305 0.1305 0.5000
0.8695 0.6305 0.5000
0.2350 0.7350 0.0000
0.2650 0.2350 0.0000
0.7350 0.7650 0.0000
0.7650 0.2650 0.0000


GdPaPt2, relaxed, DFT PBE; space-group type = Fm-3m; energy of formation = -917 meV/atom; raw total energy = -9.831 eV/atom; calculated volume = 87.6 Å³/f.u.; D(E_F) = 5.89 states/eV per cell
1.0
0.0000 3.5253 3.5253
3.5253 0.0000 3.5253
3.5253 3.5253 0.0000
Gd Pa Pt
1 1 2
direct
0.0000 0.0000 0.0000
0.5000 0.5000 0.5000
0.2500 0.2500 0.2500
0.7500 0.7500 0.7500


LiBe2Cr, relaxed, DFT PBE; space-group type = Cmmm; energy of formation = 173 meV/atom; raw total energy = -4.575 eV/atom; calculated volume = 40.4 Å³/f.u.; D(E_F) = 1.79 states/eV per cell
1.0
2.6609 -3.3504 0.0000
2.6609 3.3504 0.0000
0.0000 0.0000 2.2651
Li Be Cr
1 2 1
direct
0.0000 0.0000 0.0000
0.0000 0.5000 0.5000
0.5000 0.0000 0.5000
0.5000 0.5000 0.0000


RbSr2LiCd, relaxed, DFT PBE; space-group type = P4/mmm; energy of formation = 49 meV/atom; raw total energy = -1.383 eV/atom; calculated volume = 243.3 Å³/f.u.; D(E_F) = 3.77 states/eV per cell
1.0
6.5631 0.0000 0.0000
0.0000 6.5631 0.0000
0.0000 0.0000 5.6476
Rb Sr Li Cd
1 2 1 1
direct
0.0000 0.0000 0.0000
0.0000 0.5000 0.5000
0.5000 0.0000 0.5000
0.5000 0.5000 0.0000
0.5000 0.5000 0.5000


La2NdDy2Y6, relaxed, DFT PBE; space-group type = Cmmm; energy of formation = 137 meV/atom; raw total energy = -5.555 eV/atom; calculated volume = 369.0 Å³/f.u.; D(E_F) = 17.34 states/eV per cell
1.0
2.8784 -6.0924 0.0000
2.8784 6.0924 0.0000
0.0000 0.0000 10.5216
La Nd Dy Y
2 1 2 6
direct
0.2115 0.7885 0.0000
0.7885 0.2115 0.0000
0.5000 0.5000 0.0000
0.1303 0.8697 0.5000
0.8697 0.1303 0.5000
0.0000 0.0000 0.2084
0.0000 0.0000 0.7916
0.3503 0.6497 0.3061
0.3503 0.6497 0.6939
0.6497 0.3503 0.3061
0.6497 0.3503 0.6939


Number 1: theoretical density 14.48 Mg/m³. Number 2: theoretical density 2.92 Mg/m³. Number 3: theoretical density 14.75 Mg/m³. Number 4: theoretical density 3.16 Mg/m³. Number 5: theoretical density 2.59 Mg/m³. Number 6: theoretical density 5.76 Mg/m³.